8
Lattice="7.763 0.000 0.000 0.000 4.484 0.000 -2.586 0.000 7.569" Properties=species:S:1:pos:R:3 comment="GGA-PBE Na2TbPmTe4, relaxed" e_form_raw_mev_per_atom=-1325 space_group="P2/m, No. 10" pbc="T T T"
Na 0.000 0.000 0.000
Na 3.882 2.242 0.000
Tb -1.293 2.242 3.784
Pm 2.588 0.000 3.784
Te -0.033 0.000 5.556
Te 1.261 2.242 1.994
Te 3.916 2.242 5.575
Te 5.210 0.000 2.012